[1]
Computed, not measured: a geometry-optimized Pm8As3Se4N structure at the PBE-GGA level of DFT.

Summary:
- Size of the total moment: 0.00 μB per formula unit
- Raw formation energy: -1.661 eV per atom
- SG: R-3m, No. 166
- V: 406.0 Å³ per cell
- Total energy: -100.80 eV/cell

Lattice parameters (Å, degrees): 8.2633 8.3601 8.2640 119.62 120.00 90.00
Fractional coordinates of all 16 atoms:
Se 0.5000 0.0000 0.0000
Se 0.5000 0.0000 0.5000
Se 0.0000 0.0000 0.5000
Se 0.0000 0.0000 0.0000
Pm 0.2346 0.2771 0.0058
Pm 0.2289 0.7231 0.4579
Pm 0.2288 0.7229 0.9942
Pm 0.7712 0.2771 0.0058
Pm 0.7468 0.7402 0.4935
Pm 0.7711 0.2769 0.5421
Pm 0.2532 0.2598 0.5065
Pm 0.7654 0.7229 0.9942
As 0.5000 0.5000 0.0000
As 0.5000 0.5000 0.5000
As 0.0000 0.5000 0.5000
N 0.0000 0.5000 0.0000

---

[2]
Computed, not measured: a geometry-optimized Ho2Ni3Ge4Ir structure at the PBE-GGA level of DFT.

Summary:
- Size of the total moment: 0.00 μB per formula unit
- SG: P-4m2, No. 115
- V: 163.8 Å³ per cell
- Total energy: -60.89 eV/cell
- Formation energy from the elements: -7.06 eV/f.u.

Lattice parameters (Å, degrees): 4.0611 4.0611 9.9298 90.00 90.00 90.00
Fractional coordinates of all 10 atoms:
Ni 0.0000 0.0000 0.5000
Ni 0.5000 0.0000 0.8747
Ni 0.0000 0.5000 0.1253
Ge 0.5000 0.0000 0.6417
Ge 0.0000 0.5000 0.3583
Ge 0.0000 0.0000 0.0000
Ge 0.5000 0.5000 0.0000
Ho 0.0000 0.5000 0.7561
Ho 0.5000 0.0000 0.2439
Ir 0.5000 0.5000 0.5000

---

[3]
Computed, not measured: a geometry-optimized GdPaGaAg structure at the PBE-GGA level of DFT.

Summary:
- Size of the total moment: 9.07 μB per formula unit
- SG: F-43m, No. 216
- V: 95.9 Å³ per cell
- Total energy: -29.79 eV/cell
- Formation energy from the elements: -0.34 eV/f.u.

Lattice parameters (Å, degrees): 5.1375 5.1375 5.1375 60.00 60.00 60.00
Each line ends with the local moment (μB).
Fractional coordinates of all 4 atoms:
Ga 0.7500 0.7500 0.7500  -0.03
Ag 0.2500 0.2500 0.2500  0.05
Pa 0.0000 0.0000 0.0000  1.10
Gd 0.5000 0.5000 0.5000  7.30

---

[4]
Computed, not measured: a geometry-optimized Na3Li2I6 structure at the PBE-GGA level of DFT.

Summary:
- Size of the total moment: 0.00 μB per formula unit
- Raw formation energy: -1.035 eV per atom
- SG: R-3m, No. 166
- V: 363.0 Å³ per cell
- Total energy: -28.47 eV/cell

Lattice parameters (Å, degrees): 4.4897 4.4897 20.9571 83.85 83.85 60.00
Fractional coordinates of all 11 atoms:
Na 0.7284 0.7284 0.8149
Na 0.2716 0.2716 0.1851
Na 0.0000 0.0000 0.0000
I 0.0925 0.0925 0.7224
I 0.3642 0.3642 0.9075
I 0.9075 0.9075 0.2776
I 0.6358 0.6358 0.0925
I 0.8099 0.8099 0.5702
I 0.1901 0.1901 0.4298
Li 0.5444 0.5444 0.3668
Li 0.4556 0.4556 0.6332

---

[5]
Computed, not measured: a geometry-optimized La2BCN structure at the PBE-GGA level of DFT.

Summary:
- Size of the total moment: 0.00 μB per formula unit
- Raw formation energy: -0.594 eV per atom
- SG: P2_1/m, No. 11
- V: 157.9 Å³ per cell
- Total energy: -74.11 eV/cell

Lattice parameters (Å, degrees): 3.2374 6.6702 7.5961 105.72 90.00 90.00
Fractional coordinates of all 10 atoms:
B 0.7500 0.4183 0.2230
B 0.2500 0.5817 0.7770
La 0.7500 0.7377 0.5541
La 0.2500 0.2623 0.4459
La 0.2500 0.2166 0.9261
La 0.7500 0.7834 0.0739
C 0.2500 0.5371 0.2471
C 0.7500 0.4629 0.7529
N 0.2500 0.8167 0.8326
N 0.7500 0.1833 0.1674

---

[6]
Computed, not measured: a geometry-optimized Li3DyPd7 structure at the PBE-GGA level of DFT.

Summary:
- Size of the total moment: 0.00 μB per formula unit
- SG: C2/m, No. 12
- V: 181.4 Å³ per cell
- Total energy: -51.49 eV/cell
- Formation energy from the elements: -4.80 eV/f.u.

Lattice parameters (Å, degrees): 5.1913 5.9358 5.9358 85.37 94.10 94.10
Fractional coordinates of all 11 atoms:
Li 0.5000 0.0000 0.0000
Li 0.0000 0.1864 0.8136
Li 0.0000 0.8136 0.1864
Pd 0.7361 0.4143 0.0746
Pd 0.7880 0.7790 0.7790
Pd 0.7361 0.0746 0.4143
Pd 0.2639 0.9254 0.5857
Pd 0.2639 0.5857 0.9254
Pd 0.0000 0.5000 0.5000
Pd 0.2120 0.2210 0.2210
Dy 0.5000 0.5000 0.5000